The following is a GGA-PBE calculation of NbTeO2 after structural relaxation, from Alexandria.

Cell and atoms, written as POSCAR:
```
NbTeO2
1.0
6.205 0.000 0.000
0.000 6.205 0.000
3.102 3.102 4.387
Te Nb O
2 2 4
Direct
0.750 0.250 0.500
0.000 0.000 0.000
0.250 0.750 0.500
0.500 0.500 0.000
0.375 0.625 0.250
0.875 0.625 0.750
0.375 0.125 0.250
0.375 0.625 0.750
```

Results
Space-group type: Fd-3m (227)
N(E_F): 7.67 states/eV/cell
Raw formation energy: -1.45 eV per atom

---

The following is a GGA-PBE calculation of Nb2Te4O13 after structural relaxation, from Alexandria.

Cell and atoms, written as POSCAR:
```
Nb2Te4O13
1.0
-5.791 3.264 -3.931
-4.762 -11.792 -2.652
-4.230 5.580 10.977
O Te Nb
52 16 8
Direct
0.562 0.928 0.109
0.792 0.344 0.771
0.872 0.120 0.138
0.304 0.863 0.252
0.124 0.171 0.006
0.559 0.425 0.621
0.148 0.382 0.380
0.053 0.006 0.602
0.625 0.246 0.076
0.459 0.487 0.898
0.310 0.361 0.177
0.930 0.851 0.674
0.541 0.513 0.102
0.696 0.137 0.748
0.188 0.436 0.615
0.890 0.309 0.963
0.371 0.297 0.943
0.625 0.897 0.351
0.118 0.206 0.567
0.629 0.703 0.057
0.393 0.618 0.615
0.070 0.149 0.326
0.208 0.656 0.229
0.876 0.829 0.994
0.616 0.879 0.869
0.690 0.639 0.823
0.882 0.794 0.433
0.110 0.691 0.037
0.375 0.103 0.649
0.637 0.192 0.559
0.690 0.143 0.330
0.947 0.994 0.398
0.310 0.857 0.670
0.874 0.330 0.501
0.937 0.353 0.191
0.812 0.564 0.385
0.627 0.754 0.562
0.384 0.121 0.131
0.821 0.066 0.899
0.852 0.618 0.620
0.373 0.246 0.438
0.128 0.880 0.862
0.375 0.754 0.924
0.607 0.382 0.385
0.179 0.934 0.101
0.126 0.670 0.499
0.363 0.808 0.441
0.874 0.600 0.144
0.441 0.575 0.379
0.438 0.072 0.891
0.126 0.400 0.856
0.063 0.647 0.809
0.031 0.732 0.189
0.969 0.268 0.811
0.629 0.986 0.801
0.873 0.552 0.722
0.698 0.548 0.010
0.880 0.052 0.242
0.127 0.448 0.278
0.371 0.014 0.199
0.211 0.054 0.521
0.789 0.946 0.479
0.446 0.765 0.288
0.621 0.468 0.299
0.554 0.235 0.712
0.120 0.948 0.758
0.379 0.532 0.701
0.302 0.452 0.990
0.895 0.703 0.526
0.144 0.790 0.949
0.856 0.210 0.051
0.356 0.202 0.038
0.105 0.297 0.474
0.396 0.718 0.535
0.604 0.282 0.465
0.644 0.798 0.962
```

Results
Space-group type: P-1 (2)
N(E_F): 0.00 states/eV/cell
Raw formation energy: -1.58 eV per atom

---

The following is a GGA-PBE calculation of NbTeO2 after structural relaxation, from Alexandria.

Cell and atoms, written as POSCAR:
```
NbTeO2
1.0
-5.215 5.710 0.574
-4.037 5.679 3.403
-2.608 7.209 1.165
O Nb Te
2 1 1
Direct
0.915 0.915 0.915
0.085 0.085 0.085
0.000 0.000 0.000
0.500 0.500 0.500
```

Results
Space-group type: R-3m (166)
N(E_F): 2.37 states/eV/cell
Raw formation energy: -0.53 eV per atom